--- 1 ---
Computed, not measured: SbAsSe after structural relaxation at the PBE level of DFT.

**Calculated volume**: 506.27 Å³ per cell

a = 4.2257 Å, b = 4.2257 Å, c = 32.7380 Å
α = 90.00°, β = 90.00°, γ = 120.00°
Space group R-3m (No. 166, hexagonal axes)
Symmetry-distinct sites (fractional):
Sb: 0.0000 0.0000 0.0734 x6
As: 0.0000 0.0000 0.3486 x6
Se: 0.0000 0.0000 0.2183 x6

--- 2 ---
Computed, not measured: SbAsSe after structural relaxation at the PBE level of DFT.

**Calculated volume**: 73.43 Å³ per cell

a = 4.1016 Å, b = 4.1016 Å, c = 5.0403 Å
α = 90.00°, β = 90.00°, γ = 120.00°
Space group P3m1 (No. 156)
Symmetry-distinct sites (fractional):
Sb: 0.0000 0.0000 0.0000 x1
As: 0.3333 0.6667 0.6944 x1
Se: 0.6667 0.3333 0.3568 x1

--- 3 ---
Computed, not measured: SbAsSe after structural relaxation at the PBE level of DFT.

**Calculated volume**: 156.62 Å³ per cell

a = 3.945 Å, b = 3.945 Å, c = 10.064 Å
α = 90.00°, β = 90.00°, γ = 90.00°
Space group I4mm (No. 107)
Symmetry-distinct sites (fractional):
Sb: 0.000 0.000 0.000 x2
As: 0.000 0.000 0.403 x2
Se: 0.000 0.000 0.649 x2

--- 4 ---
Computed, not measured: SbAsSe after structural relaxation at the PBE level of DFT.

**Calculated volume**: 315.50 Å³ per cell

a = 6.808 Å, b = 6.808 Å, c = 6.808 Å
α = 90.00°, β = 90.00°, γ = 90.00°
Space group F-43m (No. 216)
Symmetry-distinct sites (fractional):
Sb: 0.000 0.000 0.000 x4
As: 0.000 0.000 0.500 x4
Se: 0.250 0.250 0.750 x4

Which one sits at the top of the stability order? 1 does.

--- 1 ---
Computed, not measured: SbAsSe after structural relaxation at the PBE level of DFT.

**Calculated volume**: 277.50 Å³ per cell

a = 3.647 Å, b = 5.692 Å, c = 13.369 Å
α = 90.00°, β = 90.00°, γ = 90.00°
Space group Fmm2 (No. 42)
Symmetry-distinct sites (fractional):
Sb: 0.000 0.000 0.000 x4
As: 0.000 0.000 0.676 x4
Se: 0.000 0.000 0.322 x4

--- 2 ---
Computed, not measured: SbAsSe after structural relaxation at the PBE level of DFT.

**Calculated volume**: 320.07 Å³ per cell

a = 6.840 Å, b = 6.840 Å, c = 6.840 Å
α = 90.00°, β = 90.00°, γ = 90.00°
Space group F-43m (No. 216)
Symmetry-distinct sites (fractional):
Sb: 0.000 0.000 0.000 x4
As: 0.250 0.250 0.750 x4
Se: 0.250 0.250 0.250 x4

Which one sits at the top of the stability order? 2 does.

--- 1 ---
Computed, not measured: SbAs3Se after structural relaxation at the PBE level of DFT.

**Calculated volume**: 145.26 Å³ per cell

a = 5.257 Å, b = 5.257 Å, c = 5.257 Å
α = 90.00°, β = 90.00°, γ = 90.00°
Space group Pm-3m (No. 221)
Symmetry-distinct sites (fractional):
Sb: 0.000 0.000 0.000 x1
As: 0.000 0.000 0.500 x3
Se: 0.500 0.500 0.500 x1

--- 2 ---
Computed, not measured: SbAs3Se after structural relaxation at the PBE level of DFT.

**Calculated volume**: 126.93 Å³ per cell

a = 5.026 Å, b = 5.026 Å, c = 5.026 Å
α = 90.00°, β = 90.00°, γ = 90.00°
Space group Pm-3m (No. 221)
Symmetry-distinct sites (fractional):
Sb: 0.000 0.000 0.000 x1
As: 0.000 0.500 0.500 x3
Se: 0.500 0.500 0.500 x1

Which one sits at the top of the stability order? 2 does.

--- 1 ---
Computed, not measured: SiSbAs2Se after structural relaxation at the PBE level of DFT.

**Calculated volume**: 112.28 Å³ per cell

a = 4.845 Å, b = 4.845 Å, c = 4.783 Å
α = 90.00°, β = 90.00°, γ = 90.00°
Space group P4/mmm (No. 123)
Symmetry-distinct sites (fractional):
Si: 0.000 0.000 0.000 x1
Sb: 0.500 0.500 0.500 x1
As: 0.000 0.500 0.000 x2
Se: 0.000 0.000 0.500 x1

--- 2 ---
Computed, not measured: SiSbAs2Se after structural relaxation at the PBE level of DFT.

**Calculated volume**: 145.03 Å³ per cell

a = 5.241 Å, b = 5.241 Å, c = 5.280 Å
α = 90.00°, β = 90.00°, γ = 90.00°
Space group P4/mmm (No. 123)
Symmetry-distinct sites (fractional):
Si: 0.000 0.000 0.000 x1
Sb: 0.500 0.500 0.500 x1
As: 0.000 0.500 0.500 x2
Se: 0.500 0.500 0.000 x1

Which one sits at the top of the stability order? 1 does.

--- 1 ---
Computed, not measured: SrSbAs2Se after structural relaxation at the PBE level of DFT.

**Calculated volume**: 174.95 Å³ per cell

a = 5.614 Å, b = 5.614 Å, c = 5.551 Å
α = 90.00°, β = 90.00°, γ = 90.00°
Space group P4/mmm (No. 123)
Symmetry-distinct sites (fractional):
Sr: 0.000 0.000 0.000 x1
Sb: 0.500 0.500 0.500 x1
As: 0.000 0.500 0.000 x2
Se: 0.000 0.000 0.500 x1

--- 2 ---
Computed, not measured: SrSbAs2Se after structural relaxation at the PBE level of DFT.

**Calculated volume**: 153.09 Å³ per cell

a = 5.283 Å, b = 5.283 Å, c = 5.485 Å
α = 90.00°, β = 90.00°, γ = 90.00°
Space group P4/mmm (No. 123)
Symmetry-distinct sites (fractional):
Sr: 0.000 0.000 0.000 x1
Sb: 0.500 0.500 0.500 x1
As: 0.000 0.500 0.500 x2
Se: 0.500 0.500 0.000 x1

--- 3 ---
Computed, not measured: SrSbAs2Se after structural relaxation at the PBE level of DFT.

**Calculated volume**: 149.25 Å³ per cell

a = 5.137 Å, b = 5.137 Å, c = 5.656 Å
α = 90.00°, β = 90.00°, γ = 90.00°
Space group P4/mmm (No. 123)
Symmetry-distinct sites (fractional):
Sr: 0.000 0.000 0.000 x1
Sb: 0.500 0.500 0.000 x1
As: 0.000 0.500 0.500 x2
Se: 0.000 0.000 0.500 x1

Which one sits at the top of the stability order? 2 does.

--- 1 ---
Computed, not measured: TaSbAs2Se after structural relaxation at the PBE level of DFT.

**Calculated volume**: 132.43 Å³ per cell

a = 5.093 Å, b = 5.093 Å, c = 5.105 Å
α = 90.00°, β = 90.00°, γ = 90.00°
Space group P4/mmm (No. 123)
Symmetry-distinct sites (fractional):
Ta: 0.000 0.000 0.000 x1
Sb: 0.500 0.500 0.500 x1
As: 0.000 0.500 0.500 x2
Se: 0.500 0.500 0.000 x1

--- 2 ---
Computed, not measured: TaSbAs2Se after structural relaxation at the PBE level of DFT.

**Calculated volume**: 127.17 Å³ per cell

a = 5.098 Å, b = 5.098 Å, c = 4.893 Å
α = 90.00°, β = 90.00°, γ = 90.00°
Space group P4/mmm (No. 123)
Symmetry-distinct sites (fractional):
Ta: 0.000 0.000 0.000 x1
Sb: 0.500 0.500 0.500 x1
As: 0.000 0.500 0.000 x2
Se: 0.000 0.000 0.500 x1

Which one sits at the top of the stability order? 2 does.

--- 1 ---
Computed, not measured: SbTe2AsSe after structural relaxation at the PBE level of DFT.

**Calculated volume**: 158.31 Å³ per cell

a = 5.369 Å, b = 5.369 Å, c = 5.493 Å
α = 90.00°, β = 90.00°, γ = 90.00°
Space group P4/mmm (No. 123)
Symmetry-distinct sites (fractional):
Sb: 0.000 0.000 0.000 x1
Te: 0.000 0.500 0.500 x2
As: 0.500 0.500 0.000 x1
Se: 0.000 0.000 0.500 x1

--- 2 ---
Computed, not measured: SbTe2AsSe after structural relaxation at the PBE level of DFT.

**Calculated volume**: 157.62 Å³ per cell

a = 5.407 Å, b = 5.407 Å, c = 5.392 Å
α = 90.00°, β = 90.00°, γ = 90.00°
Space group P4/mmm (No. 123)
Symmetry-distinct sites (fractional):
Sb: 0.000 0.000 0.000 x1
Te: 0.000 0.500 0.500 x2
As: 0.000 0.000 0.500 x1
Se: 0.500 0.500 0.000 x1

--- 3 ---
Computed, not measured: SbTe2AsSe after structural relaxation at the PBE level of DFT.

**Calculated volume**: 149.39 Å³ per cell

a = 5.391 Å, b = 5.391 Å, c = 5.140 Å
α = 90.00°, β = 90.00°, γ = 90.00°
Space group P4/mmm (No. 123)
Symmetry-distinct sites (fractional):
Sb: 0.000 0.000 0.000 x1
Te: 0.000 0.500 0.500 x2
As: 0.500 0.500 0.000 x1
Se: 0.500 0.500 0.500 x1

Which one sits at the top of the stability order? 3 does.

--- 1 ---
Computed, not measured: ZrSbAs2Se after structural relaxation at the PBE level of DFT.

**Calculated volume**: 140.45 Å³ per cell

a = 5.264 Å, b = 5.264 Å, c = 5.069 Å
α = 90.00°, β = 90.00°, γ = 90.00°
Space group P4/mmm (No. 123)
Symmetry-distinct sites (fractional):
Zr: 0.000 0.000 0.000 x1
Sb: 0.500 0.500 0.500 x1
As: 0.000 0.500 0.000 x2
Se: 0.000 0.000 0.500 x1

--- 2 ---
Computed, not measured: ZrSbAs2Se after structural relaxation at the PBE level of DFT.

**Calculated volume**: 136.14 Å³ per cell

a = 5.133 Å, b = 5.133 Å, c = 5.166 Å
α = 90.00°, β = 90.00°, γ = 90.00°
Space group P4/mmm (No. 123)
Symmetry-distinct sites (fractional):
Zr: 0.000 0.000 0.000 x1
Sb: 0.500 0.500 0.500 x1
As: 0.000 0.500 0.500 x2
Se: 0.500 0.500 0.000 x1

Which one sits at the top of the stability order? 1 does.